40
Lattice="-6.717 0.943 -3.226 1.680 -5.211 -5.143 -2.919 -5.350 4.391" Properties=species:S:1:pos:R:3 comment="SrCa7TiMn7O24 | Alexandria via LeMat-Bulk | GGA-PBEsol | relaxed" magnetic_moment_mub_per_cell=21.00 e_form_raw_kj_per_mol_atoms=-228.28 total_energy_ev_per_atom=-7.851 dos_at_fermi_per_ev_cell=7.05 pbc="T T T"
Sr -2.004 -2.422 -1.002
Ca -2.682 -7.790 -1.408
Ca -3.531 -5.187 1.185
Ca -6.024 -7.282 -3.012
Ca -6.895 -4.703 -0.447
Ca -1.211 -5.117 -3.623
Ca -4.588 -4.633 -5.229
Ca -5.447 -2.013 -2.657
Ti -4.027 -4.868 -2.014
Mn -1.509 -2.742 2.190
Mn -0.658 -5.347 -0.396
Mn -4.875 -2.257 0.567
Mn -0.044 -0.053 -0.022
Mn 0.806 -2.671 -2.609
Mn -3.422 0.426 -1.644
Mn -2.566 -2.187 -4.221
O -7.166 -8.220 -5.006
O -8.034 -5.612 -2.436
O -3.798 -8.716 -3.403
O -4.720 -6.173 -0.863
O -5.715 -5.549 -7.225
O -6.546 -2.958 -4.655
O -2.372 -6.017 -5.607
O -3.242 -3.452 -3.119
O -1.433 -7.573 -3.723
O -2.269 -5.064 -1.169
O -4.782 -7.087 -5.375
O -5.692 -4.562 -2.813
O -2.879 -10.247 -1.539
O -3.719 -7.643 1.016
O -6.242 -9.750 -3.154
O -7.102 -7.157 -0.566
O -6.844 -5.576 -4.904
O -7.684 -2.993 -2.297
O -3.543 -6.137 -3.303
O -4.419 -3.488 -0.678
O -8.284 -8.254 -2.688
O -9.148 -5.653 -0.108
O -4.927 -8.751 -1.062
O -5.796 -6.121 1.490